[1]
An optimized crystal structure of InSnTeSe2. Source: Alexandria, functional GGA-PBE.

Computed properties:
The uncorrected formation energy comes out at -288 meV/atom. The space group is P2_1/m (11). The crystal system is monoclinic.

a b c (Å): 5.9522 6.6095 8.2405
angles (deg): 73.34 90.00 90.00
Last column: nearest neighbours and their distance in Å.
Element x y z (fractional)
In1 0.2500 0.8681 0.8803  2 Se 2.66-2.71, 1 Te 2.79
In2 0.7500 0.1319 0.1197  2 Se 2.66-2.71, 1 Te 2.79
Sn1 0.7500 0.2046 0.5561  4 Se 2.76-3.00, 1 Te 3.03
Sn2 0.2500 0.7954 0.4439  4 Se 2.76-3.00, 1 Te 3.03
Te1 0.7500 0.5126 0.2036  1 In 2.79, 1 Sn 3.03
Te2 0.2500 0.4874 0.7964  1 In 2.79, 1 Sn 3.03
Se1 0.7500 0.9182 0.8907  1 In 2.66, 1 Sn 2.86
Se2 0.2500 0.0818 0.1093  1 In 2.66, 1 Sn 2.86
Se3 0.2500 0.1433 0.5653  1 In 2.71, 3 Sn 2.76-3.00
Se4 0.7500 0.8567 0.4347  1 In 2.71, 3 Sn 2.76-3.00


[2]
An optimized crystal structure of EuLu2Pb. Source: Alexandria, functional GGA-PBE.

Computed properties:
The space group is P4/mmm (123). The value obtained for the relative energy among the computed polymorphs is 82 meV per atom. The crystal system is tetragonal.

a b c (Å): 3.6076 3.6076 9.4769
angles (deg): 90.00 90.00 90.00
Last column: nearest neighbours and their distance in Å.
Element x y z (fractional)
Pb1 0.5000 0.5000 0.5000  8 Lu 3.30, 4 Pb 3.61
Eu1 0.5000 0.5000 0.0000  4 Eu 3.61, 8 Lu 3.67
Lu1 0.0000 0.0000 0.7210  4 Pb 3.30, 4 Lu 3.61, 4 Eu 3.67
Lu2 0.0000 0.0000 0.2790  4 Pb 3.30, 4 Lu 3.61, 4 Eu 3.67


[3]
An optimized crystal structure of Tb4PmAg. Source: Alexandria, functional GGA-PBE.

Computed properties:
The space group is P4/mmm (123). The value obtained for the relative energy among the computed polymorphs is 0 meV per atom. The crystal system is tetragonal.

a b c (Å): 3.5890 3.5890 13.9654
angles (deg): 90.00 90.00 90.00
Last column: nearest neighbours and their distance in Å.
Element x y z (fractional)
Tb1 0.5000 0.5000 0.1820  8 Tb 3.59, 4 Pm 3.59
Tb2 0.0000 0.0000 0.6362  4 Ag 3.17
Tb3 0.0000 0.0000 0.3638  4 Ag 3.17
Tb4 0.5000 0.5000 0.8180  8 Tb 3.59, 4 Pm 3.59
Pm1 0.0000 0.0000 0.0000  4 Pm 3.59, 8 Tb 3.59
Ag1 0.5000 0.5000 0.5000  8 Tb 3.17